--- 1 ---
Crystalline ZrIn3Ni at its relaxed geometry, computed with PBE-GGA.

space group: Pm-3m, No. 221
magnetization: 0.000 μB/cell
theoretical density: 7.20 g cm⁻³

Cell: 4.849 4.849 4.849 Å, 90.00 90.00 90.00°
Positions (direct):
Zr 0.000 0.000 0.000
In 0.000 0.500 0.500
In 0.500 0.000 0.500
In 0.500 0.500 0.000
Ni 0.500 0.500 0.500



--- 2 ---
Crystalline ZrIn3Ni at its relaxed geometry, computed with PBE-GGA.

space group: Pm-3m, No. 221
magnetization: 0.701 μB/cell
theoretical density: 4.81 g cm⁻³

Cell: 5.548 5.548 5.548 Å, 90.00 90.00 90.00°
Positions (direct):
Zr 0.000 0.000 0.000
In 0.000 0.000 0.500
In 0.000 0.500 0.000
In 0.500 0.000 0.000
Ni 0.500 0.500 0.500



1 wins, 91.2 kJ/mol of atoms ahead of the next structure.



--- 1 ---
Crystalline ZrIn2Ni2 at its relaxed geometry, computed with PBE-GGA.

space group: P4/mbm, No. 127
magnetization: 0.000 μB/cell
theoretical density: 8.46 g cm⁻³

Cell: 7.473 7.473 3.082 Å, 90.00 90.00 90.00°
Positions (direct):
Zr 0.000 0.000 0.000
Zr 0.500 0.500 0.000
In 0.165 0.335 0.500
In 0.335 0.835 0.500
In 0.665 0.165 0.500
In 0.835 0.665 0.500
Ni 0.129 0.629 0.000
Ni 0.371 0.129 0.000
Ni 0.629 0.871 0.000
Ni 0.871 0.371 0.000



--- 2 ---
Crystalline ZrIn2Ni2 at its relaxed geometry, computed with PBE-GGA.

space group: P4/mbm, No. 127
magnetization: 0.000 μB/cell
theoretical density: 8.38 g cm⁻³

Cell: 7.765 7.765 2.879 Å, 90.00 90.00 90.00°
Positions (direct):
Zr 0.000 0.000 0.000
Zr 0.500 0.500 0.000
In 0.133 0.367 0.000
In 0.367 0.867 0.000
In 0.633 0.133 0.000
In 0.867 0.633 0.000
Ni 0.167 0.667 0.500
Ni 0.333 0.167 0.500
Ni 0.667 0.833 0.500
Ni 0.833 0.333 0.500



1 wins, 9.8 kJ/mol of atoms ahead of the next structure.



--- 1 ---
Crystalline NpInP2 at its relaxed geometry, computed with PBE-GGA.

space group: R-3m, No. 166
magnetization: 3.985 μB/cell
theoretical density: 7.92 g cm⁻³

Cell: 6.438 6.438 6.438 Å, 37.03 37.03 37.03°
Positions (direct):
Np 0.000 0.000 0.000
In 0.500 0.500 0.500
P 0.253 0.253 0.253
P 0.747 0.747 0.747



--- 2 ---
Crystalline NpInP2 at its relaxed geometry, computed with PBE-GGA.

space group: P4/mmm, No. 123
magnetization: 3.068 μB/cell
theoretical density: 9.15 g cm⁻³

Cell: 4.569 4.569 3.598 Å, 90.00 90.00 90.00°
Positions (direct):
Np 0.000 0.000 0.000
In 0.500 0.500 0.000
P 0.000 0.500 0.500
P 0.500 0.000 0.500



2 wins, 5.5 kJ/mol of atoms ahead of the next structure.



--- 1 ---
Crystalline NpIn2Pt9 at its relaxed geometry, computed with PBE-GGA.

space group: P4/mmm, No. 123
magnetization: 2.201 μB/cell
theoretical density: 18.09 g cm⁻³

Cell: 4.085 4.085 12.225 Å, 90.00 90.00 90.00°
Positions (direct):
Np 0.000 0.000 0.000
In 0.000 0.000 0.338
In 0.000 0.000 0.662
Pt 0.000 0.500 0.167
Pt 0.000 0.500 0.500
Pt 0.000 0.500 0.833
Pt 0.500 0.000 0.167
Pt 0.500 0.000 0.500
Pt 0.500 0.000 0.833
Pt 0.500 0.500 0.000
Pt 0.500 0.500 0.335
Pt 0.500 0.500 0.665



--- 2 ---
Crystalline NpIn2Pt9 at its relaxed geometry, computed with PBE-GGA.

space group: R-3m, No. 166
magnetization: 3.116 μB/cell
theoretical density: 16.75 g cm⁻³

Cell: 9.251 9.251 9.251 Å, 33.97 33.97 33.97°
Positions (direct):
Np 0.000 0.000 0.000
In 0.140 0.140 0.140
In 0.860 0.860 0.860
Pt 0.081 0.587 0.587
Pt 0.334 0.334 0.334
Pt 0.413 0.413 0.919
Pt 0.413 0.919 0.413
Pt 0.500 0.500 0.500
Pt 0.587 0.081 0.587
Pt 0.587 0.587 0.081
Pt 0.666 0.666 0.666
Pt 0.919 0.413 0.413



1 wins, 11.8 kJ/mol of atoms ahead of the next structure.



--- 1 ---
Crystalline PuNpIn at its relaxed geometry, computed with PBE-GGA.

space group: I4mm, No. 107
magnetization: 1.335 μB/cell
theoretical density: 15.96 g cm⁻³

Cell: 5.919 5.919 5.919 Å, 146.78 146.78 47.69°
Positions (direct):
Pu 0.000 0.000 0.000
Np 0.419 0.419 0.000
In 0.709 0.709 0.000



--- 2 ---
Crystalline PuNpIn at its relaxed geometry, computed with PBE-GGA.

space group: C2/m, No. 12
magnetization: 5.454 μB/cell
theoretical density: 14.50 g cm⁻³

Cell: 5.869 5.869 6.481 Å, 100.24 100.24 38.50°
Positions (direct):
Pu 0.173 0.173 0.123
Pu 0.827 0.827 0.877
Np 0.455 0.455 0.816
Np 0.545 0.545 0.184
In 0.138 0.138 0.598
In 0.862 0.862 0.402



2 wins, 7.5 kJ/mol of atoms ahead of the next structure.



--- 1 ---
Crystalline NpInRh4 at its relaxed geometry, computed with PBE-GGA.

space group: P2/m, No. 10
magnetization: 1.170 μB/cell
theoretical density: 11.45 g cm⁻³

Cell: 4.430 3.358 7.444 Å, 90.00 90.22 90.00°
Positions (direct):
Np 0.000 0.000 0.000
In 0.500 0.500 0.500
Rh 0.001 0.500 0.736
Rh 0.498 0.000 0.204
Rh 0.502 0.000 0.796
Rh 0.999 0.500 0.264



--- 2 ---
Crystalline NpInRh4 at its relaxed geometry, computed with PBE-GGA.

space group: C2/m, No. 12
magnetization: 1.201 μB/cell
theoretical density: 12.48 g cm⁻³

Cell: 5.048 5.048 6.429 Å, 114.51 114.51 43.88°
Positions (direct):
Np 0.000 0.000 0.000
In 0.000 0.000 0.500
Rh 0.306 0.306 0.184
Rh 0.353 0.353 0.674
Rh 0.647 0.647 0.326
Rh 0.694 0.694 0.816



--- 3 ---
Crystalline NpInRh4 at its relaxed geometry, computed with PBE-GGA.

space group: F-43m, No. 216
magnetization: 2.623 μB/cell
theoretical density: 12.20 g cm⁻³

Cell: 5.277 5.277 5.277 Å, 60.00 60.00 60.00°
Positions (direct):
Np 0.000 0.000 0.000
In 0.750 0.750 0.750
Rh 0.376 0.376 0.376
Rh 0.376 0.376 0.873
Rh 0.376 0.873 0.376
Rh 0.873 0.376 0.376



3 wins, 3.2 kJ/mol of atoms ahead of the next structure.